1.
Rb2CoO4 GGA+U optimized geometry; raw total energy = -64.9 eV/cell; symmetry = I4_1/amd
1.0
-4.466 5.284 1.253
-2.034 -5.458 -3.938
0.973 -0.828 6.914
Rb O Co
4 8 2
Cartesian
-1.575 0.099 3.806 Rb
-3.079 -2.215 -1.619 Rb
-3.808 2.741 4.433 Rb
-2.592 -2.629 1.837 Rb
-0.540 -0.790 1.358 O
-1.190 -4.643 3.182 O
-1.249 -3.864 -0.292 O
-2.610 0.989 6.255 O
-3.935 -1.395 3.966 O
-3.994 -0.616 0.493 O
-3.200 1.487 2.001 O
0.050 -1.288 5.612 O
-4.123 1.027 0.699 Co
0.000 0.000 0.000 Co


2.
RbCoO2 GGA+U optimized geometry; raw total energy = -80.6 eV/cell; symmetry = Pbcm
1.0
6.694 0.000 0.000
0.000 7.536 0.000
0.000 0.000 5.978
Rb O Co
4 8 4
Cartesian
5.071 3.032 4.483 Rb
5.071 0.735 1.494 Rb
1.623 4.503 1.494 Rb
1.623 6.800 4.483 Rb
5.732 5.652 0.000 O
4.244 3.370 1.494 O
5.732 5.652 2.989 O
2.450 7.137 1.494 O
4.244 0.398 4.483 O
0.962 1.884 0.000 O
0.962 1.884 2.989 O
2.450 4.166 4.483 O
5.048 4.870 1.494 Co
1.646 2.666 4.483 Co
1.646 1.102 1.494 Co
5.048 6.434 4.483 Co


3.
Rb4CoO4 GGA+U optimized geometry; raw total energy = -79.2 eV/cell; symmetry = P-1
1.0
-2.748 3.424 -4.855
-4.472 -3.408 -3.476
-8.905 1.863 3.745
Rb O Co
8 8 2
Cartesian
-9.219 1.834 -3.063 Rb
-11.724 3.599 -0.858 Rb
-9.987 1.038 0.561 Rb
-6.906 0.045 -1.523 Rb
-4.401 -1.720 -3.728 Rb
-6.138 0.840 -5.147 Rb
-5.651 3.306 -2.522 Rb
-10.474 -1.428 -2.064 Rb
-7.954 2.720 -0.735 O
-11.355 2.071 -4.703 O
-2.046 0.071 -0.770 O
-8.171 -0.841 -3.851 O
-11.752 1.108 -1.976 O
-14.079 1.807 -3.816 O
-4.770 -0.193 0.117 O
-4.373 0.770 -2.610 O
-12.445 1.044 -3.660 Co
-3.680 0.834 -0.926 Co


4.
Rb5Co2O4 GGA+U optimized geometry; raw total energy = -93.6 eV/cell; symmetry = P-1
1.0
-6.126 -0.579 -3.258
0.094 -7.719 -5.013
-1.593 -8.290 4.440
Rb O Co
10 8 4
Cartesian
-6.698 -10.341 -1.663 Rb
-3.089 -15.587 -1.316 Rb
-0.937 -3.182 -0.151 Rb
-4.536 -1.000 -2.514 Rb
-0.927 -6.247 -2.168 Rb
-3.219 -11.753 -2.669 Rb
-3.301 -8.236 -0.220 Rb
-4.406 -4.834 -1.162 Rb
-4.324 -8.351 -3.610 Rb
-6.688 -13.406 -3.679 Rb
-1.606 -8.864 -3.223 O
-2.165 -5.704 0.331 O
-5.460 -10.884 -4.162 O
-3.399 -13.018 -0.031 O
-4.239 -6.483 -5.764 O
-6.019 -7.723 -0.608 O
-4.226 -3.569 -3.799 O
-3.386 -10.105 1.933 O
-0.987 -6.403 1.458 Co
-6.638 -10.185 -5.289 Co
-3.741 -5.091 -4.784 Co
-3.884 -11.497 0.954 Co


5.
Rb2Co2O3 GGA+U optimized geometry; raw total energy = -140.3 eV/cell; symmetry = Pnma
1.0
-10.003 -5.918 1.596
2.500 -4.929 -2.608
2.533 -2.402 6.969
O Co Rb
12 8 8
Cartesian
1.423 -6.134 -1.239 O
-3.067 -7.248 7.178 O
-3.122 -9.527 0.816 O
-0.641 -6.103 3.881 O
0.759 -3.173 3.145 O
-4.329 -7.146 2.075 O
-5.186 -9.495 5.936 O
-6.393 -7.114 7.195 O
0.216 -3.754 0.021 O
-5.729 -10.076 2.812 O
-1.849 -3.722 5.141 O
-1.903 -6.001 -1.222 O
-4.735 -7.967 6.939 Co
-0.562 -4.222 3.861 Co
-0.235 -5.282 -0.982 Co
-0.159 -2.774 1.511 Co
-4.811 -10.475 4.446 Co
0.324 -7.643 4.016 Co
-5.294 -5.606 1.941 Co
-4.408 -9.027 2.096 Co
-1.565 -7.190 1.349 Rb
-6.916 -7.613 4.180 Rb
1.945 -5.636 1.777 Rb
-7.194 -9.554 0.421 Rb
-3.141 -3.491 0.006 Rb
-3.405 -6.059 4.607 Rb
-1.829 -9.758 5.950 Rb
2.224 -3.695 5.536 Rb


6.
RbCoO3 GGA+U optimized geometry; raw total energy = -22.3 eV/cell; symmetry = P4mm
1.0
3.934 0.000 0.000
0.000 3.934 0.000
0.000 0.000 5.064
O Rb Co
3 1 1
Cartesian
1.967 1.967 4.460 O
0.000 1.967 4.454 O
1.967 0.000 4.454 O
1.967 1.967 1.929 Rb
0.000 0.000 4.453 Co


7.
Rb2Co2O5 GGA+U optimized geometry; raw total energy = -42.9 eV/cell; symmetry = P4/mmm
1.0
-1.805 -8.198 2.425
1.578 0.648 3.365
-3.337 1.133 1.346
Rb Co O
2 2 5
Cartesian
0.000 0.000 0.000 Rb
-0.903 -4.099 1.212 Rb
-1.395 -1.448 3.047 Co
-2.170 -4.969 4.089 Co
-3.032 -5.624 2.504 O
-2.111 -1.441 1.267 O
-0.574 -5.866 3.513 O
0.347 -1.684 2.276 O
-1.782 -3.209 3.568 O


8.
RbCoSO GGA+U optimized geometry; E above lowest polymorph = 29 meV/atom; symmetry = Pca2_1
1.0
7.210 0.000 0.000
0.000 8.141 0.000
0.000 0.000 6.230
S Co O Rb
4 4 4 4
Cartesian
2.597 4.413 4.237 S
1.008 4.413 1.122 S
6.201 3.728 4.237 S
4.613 3.728 1.122 S
4.220 3.003 3.300 Co
2.989 5.138 0.185 Co
6.594 3.003 0.185 Co
0.616 5.138 3.300 Co
3.613 6.744 0.226 O
0.009 1.397 0.226 O
3.596 1.397 3.341 O
7.201 6.744 3.341 O
4.348 6.871 3.140 Rb
0.743 1.270 3.140 Rb
2.862 1.270 0.025 Rb
6.467 6.871 0.025 Rb


9.
RbCoSO GGA+U optimized geometry; E above lowest polymorph = 0 meV/atom; symmetry = Pmc2_1
1.0
-1.428 -2.581 -2.300
-2.022 -4.362 6.151
-5.607 2.907 0.219
Co Rb S O
2 2 2 2
Cartesian
-3.962 -0.148 -0.416 Co
-2.776 -5.091 4.395 Co
-1.157 -1.046 1.893 Rb
-4.752 -1.300 4.410 Rb
-2.029 -2.896 4.509 S
-3.903 0.561 1.794 S
-2.257 -0.832 -0.707 O
-6.826 -3.190 4.777 O


10.
RbCoSO GGA+U optimized geometry; E above lowest polymorph = 819 meV/atom; symmetry = P4/nmm
1.0
4.251 0.000 0.000
0.000 4.251 0.000
0.000 0.000 9.571
Co S Rb O
2 2 2 2
Cartesian
1.063 1.063 9.134 Co
3.188 3.188 0.436 Co
3.188 3.188 2.606 S
1.063 1.063 6.965 S
1.063 3.188 4.785 Rb
3.188 1.063 4.785 Rb
3.188 1.063 0.000 O
1.063 3.188 0.000 O


11.
RbScCoO3 GGA+U optimized geometry; raw total energy = -79.4 eV/cell; symmetry = Cmcm
1.0
-0.286 1.915 -2.686
-5.463 -1.997 -2.884
-4.503 5.729 4.564
O Rb Sc Co
6 2 2 2
Cartesian
-3.708 3.426 0.797 O
-6.544 2.221 -1.802 O
-8.503 2.487 0.637 O
-5.595 5.826 2.709 O
-1.749 3.160 -1.642 O
-4.658 -0.179 -3.714 O
-3.595 1.098 -0.875 Rb
-6.657 4.549 -0.129 Rb
-2.252 2.864 2.282 Sc
0.000 0.000 0.000 Sc
-4.137 4.912 1.902 Co
-6.115 0.735 -2.907 Co


12.
Rb4CoSi2O7 GGA+U optimized geometry; E above lowest polymorph = 0 meV/atom; symmetry = P-1
1.0
-5.533 -1.633 -2.449
0.603 -3.263 6.238
-0.842 7.057 0.482
Rb O Co Si
4 7 1 2
Cartesian
-0.706 3.606 3.609 Rb
-5.066 -1.445 0.662 Rb
-3.438 -2.151 4.200 Rb
-2.334 4.312 0.071 Rb
0.000 0.000 0.000 O
-0.818 -1.442 4.920 O
-3.091 2.093 3.849 O
-4.954 3.603 -0.649 O
-1.210 1.913 1.428 O
-4.561 0.248 2.843 O
-2.680 0.068 0.422 O
-2.886 1.080 2.135 Co
-1.345 0.983 0.053 Si
-4.427 1.178 4.218 Si